{
  "formula": "TbSmGaCo",
  "functional": "GGA-PBE",
  "state": "relaxed",
  "e_above_lowest_polymorph_mev_per_atom": 73,
  "delta_e_f_mev_per_atom": -273,
  "lattice": [[0.000, 3.530, 3.530], [3.530, 0.000, 3.530], [3.530, 3.530, 0.000]],
  "species": ["Tb", "Sm", "Ga", "Co"],
  "fractional_positions": [[0.000, 0.000, 0.000], [0.500, 0.500, 0.500], [0.750, 0.750, 0.750], [0.250, 0.250, 0.250]]
}